[1]
{
  "formula": "Hf4AgAu",
  "functional": "PBE-GGA",
  "state": "optimized geometry",
  "e_form_ev_per_atom": -0.277,
  "magnetic_moment_mub_per_fu": 0.00,
  "spacegroup": "P4/mmm, No. 123",
  "crystal_system": "tetragonal",
  "lattice": [[3.2262, -0.0006, 0.0002], [0.0006, 3.2262, 0.0002], [-0.0006, -0.0006, 11.9120]],
  "species": ["Hf", "Hf", "Hf", "Hf", "Ag", "Au"],
  "fractional_positions": [[0.5000, 0.5000, 0.1665], [0.5000, 0.5000, 0.8335], [0.0000, 0.0000, 0.6618], [0.0000, 0.0000, 0.3382], [0.0000, 0.0000, 0.0000], [0.5000, 0.5000, 0.5000]]
}


[2]
{
  "formula": "HfAgAu4",
  "functional": "PBE-GGA",
  "state": "optimized geometry",
  "e_form_ev_per_atom": -0.288,
  "magnetic_moment_mub_per_fu": 0.00,
  "spacegroup": "C2/m, No. 12",
  "crystal_system": "monoclinic",
  "lattice": [[5.0200, 0.0120, 0.6050], [-2.6623, 4.2573, 0.5949], [-0.3198, -0.5667, 5.0109]],
  "species": ["Au", "Au", "Au", "Au", "Hf", "Ag"],
  "fractional_positions": [[0.6616, 0.8393, 0.5013], [0.3347, 0.1661, 0.5013], [0.1649, 0.3359, 0.0013], [0.8313, 0.6695, 0.0013], [0.4981, 0.0027, 0.0013], [0.9982, 0.5027, 0.5013]]
}